1.
NiRh2Se after structural relaxation, computed with PBEsol.

```
NiRh2Se
1.0
-2.636 -0.317 1.287
-1.614 -1.529 -3.683
1.352 -3.628 1.876
Se Rh Ni
1 2 1
direct
0.500 0.000 0.000 Se
0.000 0.500 0.000 Rh
0.000 0.000 0.500 Rh
0.500 0.500 0.500 Ni
```

Results
N(E_F): 4.6 states/eV per cell
ΔE to the lowest computed polymorph: 38 meV/atom
DFT total energy: -6.4704 eV per atom
Formation energy (no corrections): 39 kJ/mol of formula units



2.
NiRhSe2 after structural relaxation, computed with PBEsol.

```
NiRhSe2
1.0
3.074 0.000 0.000
0.000 4.345 0.000
0.000 0.000 4.345
Ni Se Rh
1 2 1
direct
0.500 0.500 0.500 Ni
0.000 0.500 0.000 Se
0.000 0.000 0.500 Se
0.500 0.000 0.000 Rh
```

Results
N(E_F): 2.4 states/eV per cell
DFT total energy: -5.4924 eV per atom
Formation energy (no corrections): 3 kJ/mol of formula units



3.
NiRh2Se4 after structural relaxation, computed with PBEsol.

```
NiRh2Se4
1.0
-1.298 1.646 -3.025
-3.494 -5.079 -1.265
-1.608 3.592 4.884
Se Ni Rh
4 1 2
direct
0.631 0.976 0.262 Se
0.114 0.447 0.228 Se
0.886 0.553 0.772 Se
0.369 0.024 0.738 Se
0.000 0.000 0.000 Ni
0.264 0.283 0.529 Rh
0.736 0.717 0.471 Rh
```

Results
N(E_F): 4.2 states/eV per cell
DFT total energy: -5.7810 eV per atom
Formation energy (no corrections): -254 kJ/mol of formula units